Entry 1:
CrTe2Au | GGA-PBE | optimized geometry

Structure (POSCAR):
```
CrTe2Au
1.0
-4.128 -4.238 -1.870
-1.183 -1.457 5.914
-7.163 1.472 2.184
Au Te Cr
2 4 2
direct
0.000 0.000 0.000
0.750 0.250 0.500
0.875 0.856 0.750
0.606 0.125 0.250
0.375 0.394 0.750
0.144 0.625 0.250
0.500 0.500 0.000
0.250 0.750 0.500
```

## Properties
ΔE to the lowest computed polymorph: 0.148 eV per atom
crystal system: tetragonal
symmetry: I-42d, No. 122
formation energy from raw total energies: 29 meV per atom
electronic total energy: -38.14 eV for the cell shown
calculated density: 6.966 g/cm3
DOS at the Fermi energy: 0.49 states/eV/atom

Entry 2:
CrTe2Au | GGA-PBE | optimized geometry

Structure (POSCAR):
```
CrTe2Au
1.0
3.948 0.000 0.000
0.000 7.127 0.000
0.000 0.000 3.896
Te Cr Au
2 1 1
direct
0.000 0.000 0.000
0.500 0.500 0.000
0.000 0.500 0.500
0.500 0.000 0.500
```

## Properties
ΔE to the lowest computed polymorph: 0.375 eV per atom
crystal system: orthorhombic
symmetry: Pmmm, No. 47
formation energy from raw total energies: 255 meV per atom
electronic total energy: -18.16 eV for the cell shown
calculated density: 7.635 g/cm3
DOS at the Fermi energy: 0.56 states/eV/atom

Entry 3:
Cr2TeAu | GGA-PBE | optimized geometry

Structure (POSCAR):
```
Cr2TeAu
1.0
5.619 -0.019 0.000
2.838 4.850 0.000
-4.228 -2.416 2.804
Cr Au Te
2 1 1
direct
0.000 0.000 0.000
0.250 0.750 0.500
0.750 0.250 0.500
0.500 0.500 0.000
```

## Properties
crystal system: tetragonal
symmetry: I-4m2, No. 119
formation energy from raw total energies: 387 meV per atom
electronic total energy: -24.12 eV for the cell shown
calculated density: 9.294 g/cm3
DOS at the Fermi energy: 0.73 states/eV/atom

Entry 4:
Cr2TeAu | GGA-PBE | optimized geometry

Structure (POSCAR):
```
Cr2TeAu
1.0
-5.849 2.686 1.563
-5.944 1.805 -2.299
-6.529 -1.039 0.397
Au Te Cr
1 1 2
direct
0.750 0.750 0.750
0.250 0.250 0.250
0.005 0.005 0.005
0.495 0.495 0.495
```

## Properties
crystal system: trigonal
symmetry: R-3m, No. 166
formation energy from raw total energies: 276 meV per atom
electronic total energy: -24.56 eV for the cell shown
calculated density: 8.421 g/cm3
DOS at the Fermi energy: 0.50 states/eV/atom

Entry 5:
CrTe2Au | GGA-PBE | optimized geometry

Structure (POSCAR):
```
CrTe2Au
1.0
-1.040 -4.472 1.632
2.581 -4.122 0.304
2.116 1.190 6.085
Te Au Cr
2 1 1
direct
0.908 0.908 0.119
0.703 0.703 0.676
0.593 0.593 0.291
0.296 0.296 0.414
```

## Properties
ΔE to the lowest computed polymorph: 0.142 eV per atom
crystal system: monoclinic
symmetry: Cm, No. 8
formation energy from raw total energies: 23 meV per atom
electronic total energy: -19.09 eV for the cell shown
calculated density: 7.403 g/cm3
DOS at the Fermi energy: 0.42 states/eV/atom

Entry 6:
CrTe2Au | GGA-PBE | optimized geometry

Structure (POSCAR):
```
CrTe2Au
1.0
-3.830 -1.230 -0.546
2.966 -1.505 -2.328
1.047 -5.408 4.831
Cr Te Au
1 2 1
direct
0.000 0.000 0.995
0.667 0.333 0.210
0.333 0.667 0.805
0.333 0.667 0.445
```

## Properties
ΔE to the lowest computed polymorph: 0.080 eV per atom
crystal system: trigonal
symmetry: P3m1, No. 156
formation energy from raw total energies: -40 meV per atom
electronic total energy: -19.34 eV for the cell shown
calculated density: 8.006 g/cm3
DOS at the Fermi energy: 0.34 states/eV/atom

Entry 7:
CrTe2Au | GGA-PBE | optimized geometry

Structure (POSCAR):
```
CrTe2Au
1.0
-4.267 -1.108 -2.524
-2.567 -4.246 1.091
-4.491 0.282 2.357
Au Cr Te
1 1 2
direct
0.500 0.500 0.500
0.750 0.750 0.750
0.250 0.250 0.250
0.000 0.000 0.000
```

## Properties
ΔE to the lowest computed polymorph: 0.600 eV per atom
crystal system: cubic
symmetry: F-43m, No. 216
formation energy from raw total energies: 481 meV per atom
electronic total energy: -17.26 eV for the cell shown
calculated density: 9.030 g/cm3
DOS at the Fermi energy: 0.67 states/eV/atom

Entry 8:
CrTe2Au | GGA-PBE | optimized geometry

Structure (POSCAR):
```
CrTe2Au
1.0
7.062 0.000 0.000
0.000 8.271 0.000
0.000 0.000 6.751
Au Te Cr
4 8 4
direct
0.031 0.000 0.260
0.531 0.500 0.260
0.469 0.500 0.760
0.969 0.000 0.760
0.861 0.702 0.218
0.861 0.298 0.218
0.361 0.202 0.218
0.639 0.798 0.718
0.139 0.298 0.718
0.361 0.798 0.218
0.639 0.202 0.718
0.139 0.702 0.718
0.146 0.500 0.054
0.646 0.000 0.054
0.354 0.000 0.554
0.854 0.500 0.554
```

## Properties
ΔE to the lowest computed polymorph: 0.203 eV per atom
crystal system: orthorhombic
symmetry: Cmc2_1, No. 36
formation energy from raw total energies: 83 meV per atom
electronic total energy: -75.40 eV for the cell shown
calculated density: 8.493 g/cm3
DOS at the Fermi energy: 0.57 states/eV/atom

Entry 9:
CrTe2Au | GGA-PBE | optimized geometry

Structure (POSCAR):
```
CrTe2Au
1.0
-1.756 -6.230 1.256
2.264 -2.239 -7.937
6.701 -1.422 2.313
Cr Te Au
4 8 4
direct
0.500 0.500 0.875
0.500 0.500 0.375
0.000 0.000 0.375
0.000 0.000 0.875
0.551 0.263 0.125
0.949 0.763 0.625
0.748 0.643 0.125
0.051 0.237 0.125
0.752 0.143 0.625
0.252 0.357 0.625
0.248 0.857 0.125
0.449 0.737 0.625
0.667 0.952 0.125
0.833 0.452 0.625
0.333 0.048 0.625
0.167 0.548 0.125
```

## Properties
ΔE to the lowest computed polymorph: 0.147 eV per atom
crystal system: orthorhombic
symmetry: Pnma, No. 62
formation energy from raw total energies: 28 meV per atom
electronic total energy: -76.29 eV for the cell shown
calculated density: 8.215 g/cm3
DOS at the Fermi energy: 0.45 states/eV/atom

Entry 10:
CrTe2Au | GGA-PBE | optimized geometry

Structure (POSCAR):
```
CrTe2Au
1.0
-4.771 4.657 -2.543
-6.930 1.523 -0.754
-5.250 4.548 1.633
Te Au Cr
2 1 1
direct
0.220 0.220 0.220
0.028 0.028 0.028
0.493 0.493 0.493
0.759 0.759 0.759
```

## Properties
ΔE to the lowest computed polymorph: 0.134 eV per atom
crystal system: trigonal
symmetry: R3m, No. 160
formation energy from raw total energies: 15 meV per atom
electronic total energy: -19.13 eV for the cell shown
calculated density: 8.148 g/cm3
DOS at the Fermi energy: 0.50 states/eV/atom

Entry 11:
CrTe2Au | GGA-PBE | optimized geometry

Structure (POSCAR):
```
CrTe2Au
1.0
18.524 0.000 -3.508
4.077 4.901 -5.306
-4.077 4.901 5.306
Au Te Cr
8 16 8
direct
0.935 0.908 0.387
0.134 0.055 0.021
0.366 0.521 0.555
0.435 0.113 0.592
0.565 0.887 0.408
0.634 0.479 0.445
0.065 0.092 0.613
0.866 0.945 0.979
0.214 0.690 0.655
0.996 0.250 0.260
0.050 0.593 0.209
0.286 0.155 0.190
0.786 0.310 0.345
0.750 0.327 0.827
0.714 0.845 0.810
0.250 0.164 0.664
0.504 0.760 0.750
0.450 0.709 0.093
0.496 0.240 0.250
0.250 0.673 0.173
0.550 0.291 0.907
0.950 0.407 0.791
0.004 0.750 0.740
0.750 0.836 0.336
0.303 0.418 0.921
0.697 0.582 0.079
0.803 0.579 0.082
0.441 0.003 0.995
0.559 0.997 0.005
0.059 0.495 0.503
0.941 0.505 0.497
0.197 0.421 0.918
```

## Properties
ΔE to the lowest computed polymorph: 0.211 eV per atom
crystal system: monoclinic
symmetry: C2/c, No. 15
formation energy from raw total energies: 91 meV per atom
electronic total energy: -150.55 eV for the cell shown
calculated density: 8.135 g/cm3
DOS at the Fermi energy: 0.38 states/eV/atom

Entry 12:
Cr2TeAu | GGA-PBE | optimized geometry

Structure (POSCAR):
```
Cr2TeAu
1.0
4.824 0.000 0.000
2.412 4.177 0.000
2.412 1.392 3.938
Te Cr Au
1 2 1
direct
0.750 0.750 0.750
0.250 0.250 0.250
0.000 0.000 0.000
0.500 0.500 0.500
```

## Properties
crystal system: cubic
symmetry: F-43m, No. 216
formation energy from raw total energies: 635 meV per atom
electronic total energy: -23.12 eV for the cell shown
calculated density: 8.967 g/cm3
DOS at the Fermi energy: 0.77 states/eV/atom